Compound: K3Er3MoO8
Source: Alexandria
Functional: PBE with a Hubbard U
Structure: optimized geometry

abc: 11.6571 6.7719 7.3986
angles: 90.00 121.80 90.00
With the nearest neighbours (Å) after each atom.
Space group C2/m (No. 12)
Symmetry-distinct sites (fractional):
K (0.0000, 0.0000, 0.0000) (multiplicity 2)  6 O 2.78-2.81
K (0.2500, 0.2500, 0.0000) (multiplicity 4)  6 O 2.79-2.81
Er (0.0000, 0.5000, 0.5000) (multiplicity 2)  6 O 2.26-2.28
Er (0.2500, 0.2500, 0.5000) (multiplicity 4)  6 O 2.26-2.30
Mo (0.0000, 0.0000, 0.5000) (multiplicity 2)  6 O 2.10-2.14
O (0.0205, 0.2360, 0.3274) (multiplicity 8)  1 Mo 2.14, 2 Er 2.28
O (0.2116, 0.0000, 0.6724) (multiplicity 4)  1 Mo 2.10, 2 Er 2.30
O (0.2277, 0.5000, 0.6807) (multiplicity 4)  3 Er 2.26

Uncorrected energy, eV per atom: -6.86
Total magnetization, μB per formula unit: 2.00